Entry 1:
Entry from Alexandria via LeMat-Bulk: a PBEsol-optimized structure of TlTeAs2Se (meta-GGA SCAN).

**Formation energy without anion corrections**: 1031 meV/atom

abc: 5.258 5.258 5.123
angles: 90.00 90.00 90.00
Space group P4/mmm (No. 123)
Asymmetric unit:
Tl1 0.000 0.000 0.000 x1
Te1 0.500 0.500 0.500 x1
As1 0.000 0.500 0.000 x2
Se1 0.000 0.000 0.500 x1

Entry 2:
Entry from Alexandria via LeMat-Bulk: a PBEsol-optimized structure of BaSbIrW2 (meta-GGA SCAN).

**Formation energy without anion corrections**: 1853 meV/atom

abc: 5.007 5.007 4.953
angles: 90.00 90.00 90.00
Space group P4/mmm (No. 123)
Asymmetric unit:
Ba1 0.000 0.000 0.000 x1
Sb1 0.500 0.500 0.500 x1
Ir1 0.500 0.500 0.000 x1
W1 0.000 0.500 0.500 x2

Entry 3:
Entry from Alexandria via LeMat-Bulk: a PBEsol-optimized structure of CoHg2Cl (meta-GGA SCAN).

**Energy above the lowest structure with this stoichiometry**: 0.258 eV per atom
**Formation energy without anion corrections**: 192 meV/atom

abc: 3.089 3.089 7.622
angles: 90.00 90.00 90.00
Space group P4/mmm (No. 123)
Asymmetric unit:
Co1 0.000 0.000 0.000 x1
Hg1 0.500 0.500 0.216 x2
Cl1 0.000 0.000 0.500 x1

Entry 4:
Entry from Alexandria via LeMat-Bulk: a PBEsol-optimized structure of BeRh2Pb (meta-GGA SCAN).

**Energy above the lowest structure with this stoichiometry**: 0.000 eV per atom
**Formation energy from the elements**: -0.124 eV/atom

abc: 2.967 2.967 6.495
angles: 90.00 90.00 90.00
Space group P4/mmm (No. 123)
Asymmetric unit:
Be1 0.000 0.000 0.000 x1
Rh1 0.500 0.500 0.206 x2
Pb1 0.000 0.000 0.500 x1